Computed, not measured: a geometry-optimized Li2PuMgS4 structure at the PBE level of DFT.

```
Li2PuMgS4
1.0
-1.057 0.950 3.581
3.392 -5.008 2.329
3.812 5.246 -0.266
S Pu Li Mg
4 1 2 1
direct
0.500 0.757 0.759
0.000 0.751 0.250
0.500 0.243 0.241
0.000 0.249 0.750
0.500 0.500 0.000
0.500 0.000 0.500
0.000 0.500 0.500
0.000 0.000 0.000
```

The value obtained for the formation energy from raw total energies is -1.381 eV/atom.

Computed, not measured: a geometry-optimized MnNbAlMo structure at the PBE level of DFT.

```
MnNbAlMo
1.0
-1.585 -2.524 3.284
2.072 -0.096 3.920
-1.874 1.894 3.545
Mn Al Nb Mo
1 1 1 1
direct
0.500 0.500 0.500
0.750 0.750 0.750
0.250 0.250 0.250
0.000 0.000 0.000
```

Its formation enthalpy at 0 K is -110 meV per atom.